{"formula": "Ni2GeF", "functional": "GGA+U", "state": "relaxed", "cell": [[-0.197, 2.945, 5.370], [-6.030, -1.033, 0.346], [-2.580, -1.669, 4.317]], "species": ["Ni", "Ni", "Ni", "Ni", "Ge", "Ge", "F", "F"], "fractional_positions": [[0.581, 0.125, 0.250], [0.169, 0.625, 0.250], [0.375, 0.419, 0.750], [0.875, 0.831, 0.750], [0.000, 0.000, 0.000], [0.750, 0.250, 0.500], [0.500, 0.500, 0.000], [0.250, 0.750, 0.500]], "relative_energy_kj_per_mol_fu": 0, "total_magnetization_mub_per_atom": 0.5114}